Density functional theory data (GGA-PBE) for an optimized crystal structure of Ta6Nb12Cr.

Structure (CIF):
```
data_Ta6Nb12Cr
_cell_length_a 9.9381
_cell_length_b 9.9381
_cell_length_c 12.4635
_cell_angle_alpha 90.00
_cell_angle_beta 90.00
_cell_angle_gamma 120.00
_space_group_name_H-M_alt 'R -3'
_space_group_IT_number 148
_space_group_name_Hall '-R 3'
loop_
_atom_site_label
_atom_site_type_symbol
_atom_site_fract_x
_atom_site_fract_y
_atom_site_fract_z
_atom_site_occupancy
Ta1 Ta 0.0371 0.4428 0.2067 1
Nb1 Nb 0.0479 0.1829 0.3064 1
Nb2 Nb 0.0643 0.8368 0.9159 1
Cr1 Cr 0.0000 0.0000 0.5000 1
```

Results
- Fermi-level density of states: 58.38 states/eV per cell
- ΔE_f: 147 meV per atom
- M_tot: 0.0 μB/cell
- Final energy: -10.46 eV per atom